Computed, not measured: a relaxed structure of SrLaS2N at the PBE-GGA level of DFT.

CIF file:
```
data_SrLaS2N
_chemical_formula_sum 'Sr1 La1 S2 N1'
_space_group_name_H-M_alt 'P 4/m m m'
_space_group_IT_number 123
_space_group_name_Hall '-P 4 2'
_cell_length_a 5.5602
_cell_length_b 5.5602
_cell_length_c 4.3739
_cell_angle_alpha 90.00
_cell_angle_beta 90.00
_cell_angle_gamma 90.00
loop_
_atom_site_label
_atom_site_fract_x
_atom_site_fract_y
_atom_site_fract_z
Sr1 0.0000 0.0000 0.0000
La1 0.5000 0.5000 0.5000
S1 0.0000 0.5000 0.5000
N1 0.5000 0.5000 0.0000
```

E: -5.49 eV/atom
crystal system: tetragonal
E_form (uncorrected): -850 meV per atom
distance to the lowest polymorph of the same formula: 0 meV per atom

***

Computed, not measured: a relaxed structure of PmHoTeC at the PBE-GGA level of DFT.

CIF file:
```
data_PmHoTeC
_chemical_formula_sum 'Pm3 Ho3 Te3 C3'
_space_group_name_H-M_alt 'R 3 m'
_space_group_IT_number 160
_space_group_name_Hall 'R 3 -2"'
_cell_length_a 3.8597
_cell_length_b 3.8597
_cell_length_c 21.5730
_cell_angle_alpha 90.00
_cell_angle_beta 90.00
_cell_angle_gamma 120.00
loop_
_atom_site_label
_atom_site_fract_x
_atom_site_fract_y
_atom_site_fract_z
Pm1 0.0000 0.0000 0.0000
Ho1 0.0000 0.0000 0.7917
Te1 0.0000 0.0000 0.2254
C1 0.0000 0.0000 0.3984
```

E: -6.22 eV/atom
crystal system: trigonal
E_form (uncorrected): -800 meV per atom

***

Computed, not measured: a relaxed structure of Dy2ErHg4 at the PBE-GGA level of DFT.

CIF file:
```
data_Dy2ErHg4
_chemical_formula_sum 'Dy6 Er3 Hg12'
_space_group_name_H-M_alt 'R -3 m'
_space_group_IT_number 166
_space_group_name_Hall '-R 3 2"'
_cell_length_a 5.0729
_cell_length_b 5.0729
_cell_length_c 25.9976
_cell_angle_alpha 90.00
_cell_angle_beta 90.00
_cell_angle_gamma 120.00
loop_
_atom_site_label
_atom_site_fract_x
_atom_site_fract_y
_atom_site_fract_z
Dy1 0.0000 0.0000 0.2447
Er1 0.0000 0.0000 0.0000
Hg1 0.0000 0.0000 0.1267
Hg2 0.0000 0.0000 0.3741
```

E: -2.48 eV/atom
crystal system: trigonal
distance to the lowest polymorph of the same formula: 0 meV per atom